HoPu2TaN4 | PBE-GGA | optimized geometry

Properties
The volume comes out at 107 Å³/f.u. The value obtained for the raw formation energy is -1.344 eV/atom. As for the energy: -11.1437 eV/atom.

Cell lengths 3.348, 5.822, 5.840 Å; angles 109.24, 90.00, 90.00 degrees
Site moments in Bohr magnetons follow the coordinates.
Atoms (fractional coordinates):
Ho: 0.500 0.500 0.000  0.02
Pu: 0.500 0.000 0.500  -4.39
Pu: 0.000 0.500 0.500  4.81
Ta: 0.000 0.000 0.000  -0.04
N: 0.500 0.225 0.224  -0.03
N: 0.500 0.775 0.776  -0.03
N: 0.000 0.231 0.767  0.06
N: 0.000 0.769 0.233  0.06



Ho2Pu3TaN6 | PBE-GGA | optimized geometry

Properties
The volume comes out at 166 Å³/f.u. The value obtained for the raw formation energy is -1.406 eV/atom. As for the energy: -10.9028 eV/atom.

Cell lengths 5.887, 5.887, 5.870 Å; angles 99.61, 99.61, 119.93 degrees
Site moments in Bohr magnetons follow the coordinates.
Atoms (fractional coordinates):
Ho: 0.333 0.667 0.000  0.10
Ho: 0.667 0.333 0.000  0.10
Pu: 0.168 0.832 0.500  4.81
Pu: 0.832 0.168 0.500  4.81
Pu: 0.500 0.500 0.500  4.80
Ta: 0.000 0.000 0.000  0.10
N: 0.922 0.614 0.766  -0.11
N: 0.770 0.770 0.239  -0.10
N: 0.078 0.386 0.234  -0.11
N: 0.614 0.922 0.766  -0.11
N: 0.230 0.230 0.761  -0.10
N: 0.386 0.078 0.234  -0.11



Ho3Pu2TaN6 | PBE-GGA | optimized geometry

Properties
The volume comes out at 165 Å³/f.u. The value obtained for the raw formation energy is -1.474 eV/atom. As for the energy: -10.1571 eV/atom.

Cell lengths 5.880, 5.880, 5.844 Å; angles 99.65, 99.65, 119.94 degrees
Site moments in Bohr magnetons follow the coordinates.
Atoms (fractional coordinates):
Ho: 0.166 0.834 0.500  0.11
Ho: 0.834 0.166 0.500  0.11
Ho: 0.500 0.500 0.500  0.11
Pu: 0.334 0.666 0.000  4.66
Pu: 0.666 0.334 0.000  4.66
Ta: 0.000 0.000 0.000  0.13
N: 0.922 0.608 0.767  -0.08
N: 0.764 0.764 0.237  -0.08
N: 0.078 0.392 0.233  -0.08
N: 0.608 0.922 0.767  -0.08
N: 0.236 0.236 0.763  -0.08
N: 0.392 0.078 0.233  -0.08



HoPuTaN3 | PBE-GGA | optimized geometry

Properties
The volume comes out at 81 Å³/f.u. The value obtained for the raw formation energy is -1.154 eV/atom. As for the energy: -10.4440 eV/atom.

Cell lengths 3.203, 5.759, 9.441 Å; angles 111.18, 90.00, 90.00 degrees
Site moments in Bohr magnetons follow the coordinates.
Atoms (fractional coordinates):
Ho: 0.750 0.721 0.695  0.00
Ho: 0.250 0.279 0.305  0.00
Pu: 0.250 0.658 0.065  0.45
Pu: 0.750 0.342 0.935  0.45
Ta: 0.250 0.177 0.625  0.00
Ta: 0.750 0.823 0.375  0.00
N: 0.250 0.749 0.499  0.00
N: 0.750 0.943 0.179  -0.01
N: 0.750 0.485 0.211  0.01
N: 0.750 0.251 0.501  0.00
N: 0.250 0.515 0.789  0.01
N: 0.250 0.057 0.821  -0.01